Computed, not measured: crystalline TlCoTc2O8 at its relaxed geometry at the PBE with a Hubbard U level of DFT.

Results
D(E_F) = 0.205 states/eV per atom
Volume = 18.0 Å³/atom
Uncorrected energy = -83.31 eV/f.u.

Cell lengths 9.2365, 5.8259, 8.0716 Å; angles 90.00, 94.21, 90.00 degrees
Space group C2/m (No. 12)
Symmetry-distinct sites (fractional):
Tl 0.0000 0.0000 0.0000 [2 per cell]
Co 0.0000 0.0000 0.5000 [2 per cell]
Tc 0.1366 0.5000 0.2861 [4 per cell]
O 0.0319 0.2504 0.3168 [8 per cell]
O 0.1910 0.5000 0.0836 [4 per cell]
O 0.2100 0.0000 0.5715 [4 per cell]